K2TiSi6O15 | PBE | optimized geometry

Results
As for the energy relative to the elements, uncorrected: -66.126 eV per formula unit. The value obtained for the excess energy over the best structure of this formula in the dataset is 0.01 eV/f.u. As for the crystal system: monoclinic.

abc: 7.3693 7.3693 15.3741
angles: 75.90 75.90 60.17
Last column: nearest neighbours and their distance in Å.
Sites, in units of the cell vectors:
K (0.8296, 0.6798, 0.5248)  5 O 2.77-3.00
K (0.6798, 0.8296, 0.0248)  5 O 2.77-3.00
K (0.4604, 0.1196, 0.7062)  4 O 2.78-3.02
K (0.1196, 0.4604, 0.2062)  4 O 2.78-3.02
Ti (0.2998, 0.7913, 0.6330)  6 O 1.94-2.00
Ti (0.7913, 0.2998, 0.1330)  6 O 1.94-2.00
Si (0.5040, 0.4567, 0.4736)  4 O 1.60-1.66
Si (0.4567, 0.5040, 0.9736)  4 O 1.60-1.66
Si (0.5979, 0.0277, 0.2879)  4 O 1.61-1.66
Si (0.0277, 0.5979, 0.7879)  4 O 1.61-1.66
Si (0.3094, 0.1884, 0.4762)  4 O 1.61-1.66
Si (0.1884, 0.3094, 0.9762)  4 O 1.61-1.66
Si (0.4982, 0.6737, 0.2698)  4 O 1.60-1.66
Si (0.6737, 0.4982, 0.7698)  4 O 1.60-1.66
Si (0.0898, 0.9627, 0.9869)  4 O 1.61-1.66
Si (0.9627, 0.0898, 0.4869)  4 O 1.61-1.66
Si (0.0272, 0.9369, 0.2981)  4 O 1.60-1.67
Si (0.9369, 0.0272, 0.7981)  4 O 1.60-1.67
O (0.0115, 0.3832, 0.0630)  1 Si 1.61
O (0.3832, 0.0115, 0.5630)  1 Si 1.61
O (0.6634, 0.5641, 0.1856)  1 Si 1.60
O (0.5641, 0.6634, 0.6856)  1 Si 1.60
O (0.9772, 0.1525, 0.2291)  1 Si 1.60
O (0.1525, 0.9772, 0.7291)  1 Si 1.60
O (0.6244, 0.4599, 0.0352)  1 Si 1.60
O (0.4599, 0.6244, 0.5352)  1 Si 1.60
O (0.7045, 0.2277, 0.5044)  2 Si 1.64-1.65
O (0.2277, 0.7045, 0.0044)  2 Si 1.64-1.65
O (0.5793, 0.2220, 0.2083)  1 Si 1.61
O (0.2220, 0.5793, 0.7083)  1 Si 1.61
O (0.8458, 0.8600, 0.3045)  2 Si 1.66-1.67
O (0.8600, 0.8458, 0.8045)  2 Si 1.66-1.67
O (0.2994, 0.4103, 0.4881)  2 Si 1.65-1.66
O (0.4103, 0.2994, 0.9881)  2 Si 1.65-1.66
O (0.4704, 0.1127, 0.3840)  2 Si 1.62-1.63
O (0.1127, 0.4704, 0.8840)  2 Si 1.62-1.63
O (0.9235, 0.0409, 0.0763)  1 Si 1.61
O (0.0409, 0.9235, 0.5763)  1 Si 1.61
O (0.7311, 0.2517, 0.7676)  2 Si 1.65-1.66
O (0.2517, 0.7311, 0.2676)  2 Si 1.65-1.66
O (0.5290, 0.5693, 0.8665)  2 Si 1.63
O (0.5693, 0.5290, 0.3665)  2 Si 1.63
O (0.9600, 0.0287, 0.9017)  2 Si 1.64-1.65
O (0.0287, 0.9600, 0.4017)  2 Si 1.64-1.65
O (0.0667, 0.2548, 0.4616)  2 Si 1.66
O (0.2548, 0.0667, 0.9616)  2 Si 1.66
O (0.9025, 0.4919, 0.7631)  2 Si 1.63-1.64
O (0.4919, 0.9025, 0.2631)  2 Si 1.63-1.64